The following is a DFT calculation (PBE) of a geometry-optimized Pm8DyPb6 structure.

It has space group R-3 (No. 148, hexagonal axes), with a = 9.3820 Å, b = 9.3820 Å, c = 20.0016 Å, α = 90.00°, β = 90.00° and γ = 120.00°. The asymmetric unit holds Pm at (0.0000, 0.0000, 0.1664), Pm at (0.0006, 0.6644, 0.3972), Dy at (0.0000, 0.0000, 0.5000) and Pb at (0.9998, 0.3292, 0.4312).

As for the density of states at the Fermi level: 0.7160 states/eV per atom. The calculation puts the formation energy at -5.8 eV/f.u. Its crystal system is trigonal.